Entry 1:
First-principles (GGA-PBE) data for a geometry-optimized SnPdPb structure, as listed in Alexandria.

```
SnPdPb
1.0
0.000 3.340 3.340
3.340 0.000 3.340
3.340 3.340 0.000
Sn Pd Pb
1 1 1
Cartesian
0.000 0.000 0.000
5.010 5.010 5.010
3.340 3.340 3.340
```

Calculated values
Density of states at the Fermi level = 1.400 states/eV per cell
Calculated volume = 24.8 Å³/atom
Calculated formation energy = -0.261 eV per atom
E_tot = -13.686 eV per cell
Symmetry = F-43m, No. 216

***

Entry 2:
First-principles (GGA-PBE) data for a geometry-optimized SnPd8Pb2 structure, as listed in Alexandria.

```
SnPd8Pb2
1.0
7.496 -2.115 0.000
7.496 2.115 0.000
-1.845 0.000 6.094
Sn Pd Pb
1 8 2
Cartesian
0.000 0.000 0.000
0.449 0.000 2.738
0.853 0.000 5.610
3.781 0.000 4.856
6.518 0.000 1.563
6.629 0.000 4.531
9.365 0.000 1.238
12.293 0.000 0.484
12.698 0.000 3.356
3.766 0.000 2.061
9.381 0.000 4.032
```

Calculated values
Density of states at the Fermi level = 5.977 states/eV per cell
Distance to the lowest polymorph of the same formula = 25 meV per atom
Calculated volume = 17.6 Å³/atom
Calculated formation energy = -0.296 eV per atom
E_tot = -56.219 eV per cell
Symmetry = C2/m, No. 12

***

Entry 3:
First-principles (GGA-PBE) data for a geometry-optimized SnPd4Pb structure, as listed in Alexandria.

```
SnPd4Pb
1.0
5.467 0.000 0.000
0.000 7.885 0.000
-1.793 0.000 5.104
Sn Pd Pb
2 8 2
Cartesian
0.000 0.000 0.000
-0.896 3.943 2.552
-0.522 1.330 3.140
0.374 2.613 0.588
1.386 5.221 2.034
0.490 6.607 4.586
3.185 1.278 0.518
2.289 2.664 3.070
3.300 5.273 4.516
4.197 6.555 1.964
1.837 0.000 2.552
2.734 3.943 0.000
```

Calculated values
Density of states at the Fermi level = 5.055 states/eV per cell
Distance to the lowest polymorph of the same formula = 70 meV per atom
Calculated volume = 18.3 Å³/atom
Calculated formation energy = -0.301 eV per atom
E_tot = -60.576 eV per cell
Symmetry = P2_1/c, No. 14